Entry 1:
Density functional theory data (PBE-GGA) for a relaxed SrEr2Tl9 crystal.

Summary:
DOS at the Fermi energy in states/eV per cell: 5.32
Theoretical density in Mg/m³: 11.12
Uncorrected energy in eV per atom: -2.895

Cell lengths 4.834, 4.834, 14.456 Å; angles 90.00, 90.00, 90.00 degrees
Element x y z (fractional)
Sr (0.000, 0.000, 0.000)
Er (0.000, 0.000, 0.343)
Er (0.000, 0.000, 0.657)
Tl (0.500, 0.500, 0.000)
Tl (0.500, 0.500, 0.335)
Tl (0.500, 0.500, 0.665)
Tl (0.500, 0.000, 0.177)
Tl (0.500, 0.000, 0.500)
Tl (0.500, 0.000, 0.823)
Tl (0.000, 0.500, 0.177)
Tl (0.000, 0.500, 0.500)
Tl (0.000, 0.500, 0.823)

---

Entry 2:
Density functional theory data (PBE-GGA) for a relaxed SrEr2Tl3 crystal.

Summary:
DOS at the Fermi energy in states/eV per cell: 3.08
Theoretical density in Mg/m³: 9.85
Uncorrected energy in eV per atom: -3.333

Cell lengths 3.852, 3.852, 11.766 Å; angles 90.00, 90.00, 90.00 degrees
Element x y z (fractional)
Sr (0.500, 0.500, 0.500)
Er (0.500, 0.500, 0.843)
Er (0.500, 0.500, 0.157)
Tl (0.000, 0.000, 0.000)
Tl (0.000, 0.000, 0.690)
Tl (0.000, 0.000, 0.310)

---

Entry 3:
Density functional theory data (PBE-GGA) for a relaxed Sr3ErTl4 crystal.

Summary:
DOS at the Fermi energy in states/eV per cell: 5.77
Theoretical density in Mg/m³: 8.04
Uncorrected energy in eV per atom: -2.774

Cell lengths 3.977, 3.977, 16.291 Å; angles 90.00, 90.00, 90.00 degrees
Element x y z (fractional)
Sr (0.500, 0.500, 0.241)
Sr (0.500, 0.500, 0.500)
Sr (0.500, 0.500, 0.759)
Tl (0.000, 0.000, 0.892)
Tl (0.000, 0.000, 0.108)
Tl (0.000, 0.000, 0.372)
Tl (0.000, 0.000, 0.628)
Er (0.500, 0.500, 0.000)

---

Entry 4:
Density functional theory data (PBE-GGA) for a relaxed Sr2ErTl3 crystal.

Summary:
DOS at the Fermi energy in states/eV per cell: 6.72
Theoretical density in Mg/m³: 8.37
Uncorrected energy in eV per atom: -2.878

Cell lengths 5.646, 8.887, 7.974 Å; angles 90.00, 90.00, 71.48 degrees
Element x y z (fractional)
Sr (0.000, 0.000, 0.000)
Sr (0.000, 0.000, 0.500)
Sr (0.337, 0.326, 0.500)
Sr (0.663, 0.674, 0.500)
Er (0.335, 0.331, 0.000)
Er (0.665, 0.669, 0.000)
Tl (0.827, 0.347, 0.771)
Tl (0.500, 0.000, 0.230)
Tl (0.173, 0.653, 0.229)
Tl (0.827, 0.347, 0.229)
Tl (0.173, 0.653, 0.771)
Tl (0.500, 0.000, 0.770)

---

Entry 5:
Density functional theory data (PBE-GGA) for a relaxed Sr2Er2Tl7 crystal.

Summary:
DOS at the Fermi energy in states/eV per cell: 7.27
Theoretical density in Mg/m³: 8.24
Uncorrected energy in eV per atom: -2.632

Cell lengths 7.852, 6.373, 7.852 Å; angles 90.00, 95.42, 90.00 degrees
Element x y z (fractional)
Sr (0.807, 0.500, 0.807)
Sr (0.193, 0.500, 0.193)
Er (0.732, 0.000, 0.268)
Er (0.268, 0.000, 0.732)
Tl (0.000, 0.253, 0.500)
Tl (0.500, 0.747, 0.000)
Tl (0.000, 0.747, 0.500)
Tl (0.500, 0.253, 0.000)
Tl (0.000, 0.000, 0.000)
Tl (0.500, 0.742, 0.500)
Tl (0.500, 0.258, 0.500)

---

Entry 6:
Density functional theory data (PBE-GGA) for a relaxed SrErTl6 crystal.

Summary:
DOS at the Fermi energy in states/eV per cell: 4.30
Theoretical density in Mg/m³: 10.67
Uncorrected energy in eV per atom: -2.780

Cell lengths 4.864, 4.864, 9.747 Å; angles 90.00, 90.00, 90.00 degrees
Element x y z (fractional)
Sr (0.000, 0.000, 0.000)
Er (0.000, 0.000, 0.500)
Tl (0.500, 0.500, 0.000)
Tl (0.500, 0.500, 0.500)
Tl (0.500, 0.000, 0.261)
Tl (0.500, 0.000, 0.739)
Tl (0.000, 0.500, 0.261)
Tl (0.000, 0.500, 0.739)

---

Entry 7:
Density functional theory data (PBE-GGA) for a relaxed SrErTl crystal.

Summary:
DOS at the Fermi energy in states/eV per cell: 3.65
Theoretical density in Mg/m³: 7.25
Uncorrected energy in eV per atom: -3.140
Relative energy among the computed polymorphs in meV/atom: 0

Cell lengths 5.098, 5.098, 8.092 Å; angles 90.00, 90.00, 90.00 degrees
Element x y z (fractional)
Sr (0.000, 0.500, 0.858)
Sr (0.500, 0.000, 0.142)
Er (0.500, 0.500, 0.500)
Er (0.000, 0.000, 0.500)
Tl (0.000, 0.500, 0.274)
Tl (0.500, 0.000, 0.726)

---

Entry 8:
Density functional theory data (PBE-GGA) for a relaxed SrEr2Tm crystal.

Summary:
DOS at the Fermi energy in states/eV per cell: 5.39
Theoretical density in Mg/m³: 7.05
Uncorrected energy in eV per atom: -3.579
Relative energy among the computed polymorphs in meV/atom: 102

Cell lengths 3.566, 3.566, 12.811 Å; angles 82.00, 82.00, 60.00 degrees
Element x y z (fractional)
Sr (0.000, 0.000, 0.000)
Tm (0.500, 0.500, 0.500)
Er (0.094, 0.094, 0.719)
Er (0.906, 0.906, 0.281)

---

Entry 9:
Density functional theory data (PBE-GGA) for a relaxed SrEr2Tm crystal.

Summary:
DOS at the Fermi energy in states/eV per cell: 5.35
Theoretical density in Mg/m³: 7.08
Uncorrected energy in eV per atom: -3.681
Relative energy among the computed polymorphs in meV/atom: 0

Cell lengths 3.638, 3.638, 10.480 Å; angles 90.00, 90.00, 90.00 degrees
Element x y z (fractional)
Sr (0.500, 0.500, 0.500)
Tm (0.500, 0.500, 0.000)
Er (0.000, 0.000, 0.782)
Er (0.000, 0.000, 0.218)

---

Entry 10:
Density functional theory data (PBE-GGA) for a relaxed SrY2Er crystal.

Summary:
DOS at the Fermi energy in states/eV per cell: 5.88
Theoretical density in Mg/m³: 5.06
Uncorrected energy in eV per atom: -4.666
Relative energy among the computed polymorphs in meV/atom: 5

Cell lengths 3.676, 3.676, 12.310 Å; angles 81.41, 81.41, 60.00 degrees
Site moments in Bohr magnetons follow the coordinates.
Element x y z (fractional)
Sr (0.501, 0.501, 0.498)  0.01
Y (0.077, 0.077, 0.770)  -0.07
Y (0.257, 0.257, 0.230)  0.14
Er (0.666, 0.666, 0.001)  0.00

---

Entry 11:
Density functional theory data (PBE-GGA) for a relaxed SrYEr crystal.

Summary:
DOS at the Fermi energy in states/eV per cell: 8.54
Theoretical density in Mg/m³: 5.05
Uncorrected energy in eV per atom: -4.072
Relative energy among the computed polymorphs in meV/atom: 21

Cell lengths 6.268, 6.268, 16.825 Å; angles 40.84, 40.84, 33.99 degrees
Element x y z (fractional)
Sr (0.634, 0.634, 0.257)
Sr (0.119, 0.119, 0.050)
Er (0.695, 0.695, 0.445)
Er (0.058, 0.058, 0.862)
Y (0.937, 0.937, 0.722)
Y (0.816, 0.816, 0.585)

---

Entry 12:
Density functional theory data (PBE-GGA) for a relaxed SrY2Er crystal.

Summary:
DOS at the Fermi energy in states/eV per cell: 6.72
Theoretical density in Mg/m³: 5.05
Uncorrected energy in eV per atom: -4.656
Relative energy among the computed polymorphs in meV/atom: 15

Cell lengths 3.665, 3.665, 12.404 Å; angles 81.50, 81.50, 60.00 degrees
Element x y z (fractional)
Y (0.743, 0.743, 0.772)
Y (0.257, 0.257, 0.228)
Sr (0.500, 0.500, 0.500)
Er (0.000, 0.000, 0.000)

---

Entry 13:
Density functional theory data (PBE-GGA) for a relaxed SrYEr2 crystal.

Summary:
DOS at the Fermi energy in states/eV per cell: 5.76
Theoretical density in Mg/m³: 6.07
Uncorrected energy in eV per atom: -4.178
Relative energy among the computed polymorphs in meV/atom: 1

Cell lengths 3.658, 3.658, 12.246 Å; angles 81.41, 81.41, 60.00 degrees
Site moments in Bohr magnetons follow the coordinates.
Element x y z (fractional)
Sr (0.501, 0.501, 0.498)  0.01
Y (0.666, 0.666, 0.001)  0.00
Er (0.077, 0.077, 0.769)  -0.10
Er (0.256, 0.256, 0.232)  0.18

---

Entry 14:
Density functional theory data (PBE-GGA) for a relaxed SrYEr crystal.

Summary:
DOS at the Fermi energy in states/eV per cell: 5.47
Theoretical density in Mg/m³: 5.19
Uncorrected energy in eV per atom: -4.070
Relative energy among the computed polymorphs in meV/atom: 24

Cell lengths 3.711, 3.711, 9.229 Å; angles 90.00, 90.00, 120.00 degrees
Element x y z (fractional)
Y (0.667, 0.333, 0.355)
Sr (0.000, 0.000, 0.998)
Er (0.333, 0.667, 0.647)

---

Entry 15:
Density functional theory data (PBE-GGA) for a relaxed SrYEr crystal.

Summary:
DOS at the Fermi energy in states/eV per cell: 5.16
Theoretical density in Mg/m³: 5.13
Uncorrected energy in eV per atom: -4.093
Relative energy among the computed polymorphs in meV/atom: 0

Cell lengths 3.726, 3.726, 8.431 Å; angles 102.77, 102.77, 90.00 degrees
Element x y z (fractional)
Y (0.319, 0.319, 0.638)
Sr (0.001, 0.001, 0.002)
Er (0.680, 0.680, 0.361)

---

Entry 16:
Density functional theory data (PBE-GGA) for a relaxed SrYEr2 crystal.

Summary:
DOS at the Fermi energy in states/eV per cell: 5.72
Theoretical density in Mg/m³: 6.00
Uncorrected energy in eV per atom: -4.179
Relative energy among the computed polymorphs in meV/atom: 0

Cell lengths 3.659, 3.659, 10.560 Å; angles 90.00, 90.00, 90.00 degrees
Element x y z (fractional)
Y (0.500, 0.500, 0.000)
Sr (0.500, 0.500, 0.500)
Er (0.000, 0.000, 0.778)
Er (0.000, 0.000, 0.222)

---

Entry 17:
Density functional theory data (PBE-GGA) for a relaxed SrYEr2 crystal.

Summary:
DOS at the Fermi energy in states/eV per cell: 5.55
Theoretical density in Mg/m³: 5.98
Uncorrected energy in eV per atom: -4.080
Relative energy among the computed polymorphs in meV/atom: 99

Cell lengths 3.591, 3.591, 12.883 Å; angles 81.99, 81.99, 60.00 degrees
Element x y z (fractional)
Y (0.500, 0.500, 0.500)
Sr (0.000, 0.000, 0.000)
Er (0.093, 0.093, 0.721)
Er (0.907, 0.907, 0.279)

---

Entry 18:
Density functional theory data (PBE-GGA) for a relaxed SrY2Er crystal.

Summary:
DOS at the Fermi energy in states/eV per cell: 5.93
Theoretical density in Mg/m³: 5.02
Uncorrected energy in eV per atom: -4.671
Relative energy among the computed polymorphs in meV/atom: 0

Cell lengths 3.678, 3.678, 10.585 Å; angles 90.00, 90.00, 90.00 degrees
Element x y z (fractional)
Y (0.000, 0.000, 0.781)
Y (0.000, 0.000, 0.219)
Sr (0.500, 0.500, 0.500)
Er (0.500, 0.500, 0.000)

---

Entry 19:
Density functional theory data (PBE-GGA) for a relaxed SrEr3Zn4 crystal.

Summary:
DOS at the Fermi energy in states/eV per cell: 12.42
Theoretical density in Mg/m³: 7.47
Uncorrected energy in eV per atom: -2.821

Cell lengths 5.111, 7.240, 10.221 Å; angles 90.00, 90.00, 90.00 degrees
Element x y z (fractional)
Sr (0.000, 0.500, 0.000)
Sr (0.000, 0.500, 0.500)
Zn (0.500, 0.770, 0.000)
Zn (0.500, 0.770, 0.500)
Zn (0.500, 0.230, 0.000)
Zn (0.500, 0.230, 0.500)
Zn (0.999, 0.770, 0.750)
Zn (0.001, 0.770, 0.250)
Zn (0.001, 0.230, 0.250)
Zn (0.999, 0.230, 0.750)
Er (0.000, 0.000, 0.000)
Er (0.000, 0.000, 0.500)
Er (0.500, 0.000, 0.750)
Er (0.500, 0.000, 0.250)
Er (0.500, 0.500, 0.750)
Er (0.500, 0.500, 0.250)

---

Entry 20:
Density functional theory data (PBE-GGA) for a relaxed SrEr2Zn3 crystal.

Summary:
DOS at the Fermi energy in states/eV per cell: 4.61
Theoretical density in Mg/m³: 7.06
Uncorrected energy in eV per atom: -2.722

Cell lengths 3.630, 3.630, 11.037 Å; angles 90.00, 90.00, 90.00 degrees
Element x y z (fractional)
Sr (0.500, 0.500, 0.500)
Er (0.500, 0.500, 0.844)
Er (0.500, 0.500, 0.156)
Zn (0.000, 0.000, 0.000)
Zn (0.000, 0.000, 0.699)
Zn (0.000, 0.000, 0.301)